DFT (GGA+U) results for a geometry-optimized BMoPO2 structure.

Summary:
Uncorrected energy, eV/cell: -28.616
Offset from the most stable computed form, meV per atom: 0

```
data_BMoPO2
_space_group_name_H-M_alt 'P 4/m m m'
_space_group_IT_number 123
_space_group_name_Hall '-P 4 2'
_cell_length_a 3.2723
_cell_length_b 3.2723
_cell_length_c 6.3023
_cell_angle_alpha 90.00
_cell_angle_beta 90.00
_cell_angle_gamma 90.00
loop_
_atom_site_label
_atom_site_type_symbol
_atom_site_fract_x
_atom_site_fract_y
_atom_site_fract_z
B1 B 0.0000 0.0000 0.0000
Mo1 Mo 0.5000 0.5000 0.5000
P1 P 0.0000 0.0000 0.5000
O1 O 0.0000 0.5000 0.0000
```